[1]
# PBE UTlCo2Cl8, optimized geometry
data_UTlCo2Cl8
_chemical_formula_sum 'U3 Tl3 Co6 Cl24'
_symmetry_space_group_name_H-M 'R -3'
_symmetry_Int_Tables_number 148
_symmetry_space_group_name_Hall '-R 3'
_cell_length_a 6.4242
_cell_length_b 6.4242
_cell_length_c 29.2529
_cell_angle_alpha 90.00
_cell_angle_beta 90.00
_cell_angle_gamma 120.00
loop_
_atom_site_label
_atom_site_fract_x
_atom_site_fract_y
_atom_site_fract_z
U1 0.0000 0.0000 0.0000
Tl1 0.0000 0.0000 0.5000
Co1 0.0000 0.0000 0.2506
Cl1 0.0000 0.0000 0.1757
Cl2 0.0014 0.3313 0.3881
# **Raw formation energy**: -1.006 eV/atom

---

[2]
# PBE YTlCo2Cl8, optimized geometry
data_YTlCo2Cl8
_chemical_formula_sum 'Y3 Tl3 Co6 Cl24'
_symmetry_space_group_name_H-M 'R -3'
_symmetry_Int_Tables_number 148
_symmetry_space_group_name_Hall '-R 3'
_cell_length_a 6.4393
_cell_length_b 6.4393
_cell_length_c 28.7342
_cell_angle_alpha 90.00
_cell_angle_beta 90.00
_cell_angle_gamma 120.00
loop_
_atom_site_label
_atom_site_fract_x
_atom_site_fract_y
_atom_site_fract_z
Y1 0.0000 0.0000 0.0000
Tl1 0.0000 0.0000 0.5000
Co1 0.0000 0.0000 0.2527
Cl1 0.0000 0.0000 0.1766
Cl2 0.0007 0.6698 0.6118
# **Raw formation energy**: -1.172 eV/atom

---

[3]
# PBE TmCoCl, optimized geometry
data_TmCoCl
_chemical_formula_sum 'Tm4 Co4 Cl4'
_symmetry_space_group_name_H-M 'C 1 m 1'
_symmetry_Int_Tables_number 8
_symmetry_space_group_name_Hall 'C -2y'
_cell_length_a 6.645
_cell_length_b 3.835
_cell_length_c 11.113
_cell_angle_alpha 90.00
_cell_angle_beta 101.70
_cell_angle_gamma 90.00
loop_
_atom_site_label
_atom_site_fract_x
_atom_site_fract_y
_atom_site_fract_z
Tm1 0.000 0.000 0.000
Tm2 0.115 0.000 0.339
Co1 0.224 0.500 0.169
Co2 0.391 0.000 0.169
Cl1 0.113 0.500 0.842
Cl2 0.336 0.500 0.497
# **Raw formation energy**: -1.187 eV/atom

---

[4]
# PBE VCoCl3, optimized geometry
data_VCoCl3
_chemical_formula_sum 'V1 Co1 Cl3'
_symmetry_space_group_name_H-M 'P m -3 m'
_symmetry_Int_Tables_number 221
_symmetry_space_group_name_Hall '-P 4 2 3'
_cell_length_a 4.706
_cell_length_b 4.706
_cell_length_c 4.706
_cell_angle_alpha 90.00
_cell_angle_beta 90.00
_cell_angle_gamma 90.00
loop_
_atom_site_label
_atom_site_fract_x
_atom_site_fract_y
_atom_site_fract_z
V1 0.000 0.000 0.000
Co1 0.500 0.500 0.500
Cl1 0.000 0.500 0.500
# **Raw formation energy**: 0.057 eV/atom

---

[5]
# PBE V3CoCl, optimized geometry
data_V3CoCl
_chemical_formula_sum 'V3 Co1 Cl1'
_symmetry_space_group_name_H-M 'P m -3 m'
_symmetry_Int_Tables_number 221
_symmetry_space_group_name_Hall '-P 4 2 3'
_cell_length_a 4.224
_cell_length_b 4.224
_cell_length_c 4.224
_cell_angle_alpha 90.00
_cell_angle_beta 90.00
_cell_angle_gamma 90.00
loop_
_atom_site_label
_atom_site_fract_x
_atom_site_fract_y
_atom_site_fract_z
V1 0.000 0.000 0.500
Co1 0.500 0.500 0.500
Cl1 0.000 0.000 0.000
# **Raw formation energy**: 0.731 eV/atom

---

[6]
# PBE VCoCl, optimized geometry
data_VCoCl
_chemical_formula_sum 'V4 Co4 Cl4'
_symmetry_space_group_name_H-M 'A m m 2'
_symmetry_Int_Tables_number 38
_symmetry_space_group_name_Hall 'A 2 -2'
_cell_length_a 11.248
_cell_length_b 4.197
_cell_length_c 4.197
_cell_angle_alpha 90.00
_cell_angle_beta 90.00
_cell_angle_gamma 90.00
loop_
_atom_site_label
_atom_site_fract_x
_atom_site_fract_y
_atom_site_fract_z
V1 0.000 0.000 0.000
V2 0.500 0.000 0.496
Co1 0.390 0.000 0.996
Cl1 0.196 0.000 0.000
# **Raw formation energy**: 0.104 eV/atom

---

[7]
# PBE VCoCl3, optimized geometry
data_VCoCl3
_chemical_formula_sum 'V1 Co1 Cl3'
_symmetry_space_group_name_H-M 'P m -3 m'
_symmetry_Int_Tables_number 221
_symmetry_space_group_name_Hall '-P 4 2 3'
_cell_length_a 4.841
_cell_length_b 4.841
_cell_length_c 4.841
_cell_angle_alpha 90.00
_cell_angle_beta 90.00
_cell_angle_gamma 90.00
loop_
_atom_site_label
_atom_site_fract_x
_atom_site_fract_y
_atom_site_fract_z
V1 0.000 0.000 0.000
Co1 0.500 0.500 0.500
Cl1 0.000 0.000 0.500
# **Raw formation energy**: -0.068 eV/atom

---

[8]
# PBE V2CoCl2, optimized geometry
data_V2CoCl2
_chemical_formula_sum 'V4 Co2 Cl4'
_symmetry_space_group_name_H-M 'P 4/m b m'
_symmetry_Int_Tables_number 127
_symmetry_space_group_name_Hall '-P 4 2ab'
_cell_length_a 6.929
_cell_length_b 6.929
_cell_length_c 3.005
_cell_angle_alpha 90.00
_cell_angle_beta 90.00
_cell_angle_gamma 90.00
loop_
_atom_site_label
_atom_site_fract_x
_atom_site_fract_y
_atom_site_fract_z
V1 0.167 0.333 0.000
Co1 0.000 0.000 0.000
Cl1 0.140 0.640 0.500
# **Raw formation energy**: 0.512 eV/atom

---

[9]
# PBE V3CoCl, optimized geometry
data_V3CoCl
_chemical_formula_sum 'V3 Co1 Cl1'
_symmetry_space_group_name_H-M 'P m -3 m'
_symmetry_Int_Tables_number 221
_symmetry_space_group_name_Hall '-P 4 2 3'
_cell_length_a 4.398
_cell_length_b 4.398
_cell_length_c 4.398
_cell_angle_alpha 90.00
_cell_angle_beta 90.00
_cell_angle_gamma 90.00
loop_
_atom_site_label
_atom_site_fract_x
_atom_site_fract_y
_atom_site_fract_z
V1 0.000 0.000 0.500
Co1 0.000 0.000 0.000
Cl1 0.500 0.500 0.500
# **Raw formation energy**: 0.942 eV/atom

---

[10]
# PBE V2CoCl2, optimized geometry
data_V2CoCl2
_chemical_formula_sum 'V4 Co2 Cl4'
_symmetry_space_group_name_H-M 'I 4/m m m'
_symmetry_Int_Tables_number 139
_symmetry_space_group_name_Hall '-I 4 2'
_cell_length_a 4.006
_cell_length_b 4.006
_cell_length_c 10.363
_cell_angle_alpha 90.00
_cell_angle_beta 90.00
_cell_angle_gamma 90.00
loop_
_atom_site_label
_atom_site_fract_x
_atom_site_fract_y
_atom_site_fract_z
V1 0.000 0.000 0.098
Co1 0.000 0.000 0.500
Cl1 0.000 0.500 0.250
# **Raw formation energy**: 0.380 eV/atom

---

[11]
# PBE ZrVCo2Cl, optimized geometry
data_ZrVCo2Cl
_chemical_formula_sum 'Zr1 V1 Co2 Cl1'
_symmetry_space_group_name_H-M 'P 4/m m m'
_symmetry_Int_Tables_number 123
_symmetry_space_group_name_Hall '-P 4 2'
_cell_length_a 4.172
_cell_length_b 4.172
_cell_length_c 4.265
_cell_angle_alpha 90.00
_cell_angle_beta 90.00
_cell_angle_gamma 90.00
loop_
_atom_site_label
_atom_site_fract_x
_atom_site_fract_y
_atom_site_fract_z
Zr1 0.000 0.000 0.000
V1 0.500 0.500 0.000
Co1 0.000 0.500 0.500
Cl1 0.500 0.500 0.500
# **Raw formation energy**: 0.411 eV/atom

---

[12]
# PBE Co2W2Cl, optimized geometry
data_Co2W2Cl
_chemical_formula_sum 'Co4 W4 Cl2'
_symmetry_space_group_name_H-M 'I 4/m m m'
_symmetry_Int_Tables_number 139
_symmetry_space_group_name_Hall '-I 4 2'
_cell_length_a 3.663
_cell_length_b 3.663
_cell_length_c 12.613
_cell_angle_alpha 90.00
_cell_angle_beta 90.00
_cell_angle_gamma 90.00
loop_
_atom_site_label
_atom_site_fract_x
_atom_site_fract_y
_atom_site_fract_z
Co1 0.000 0.000 0.108
W1 0.000 0.500 0.250
Cl1 0.000 0.000 0.500
# **Raw formation energy**: 0.828 eV/atom

---

Number 1: electronic total energy -4.56 eV per atom. Number 2: electronic total energy -4.32 eV per atom. Number 3: electronic total energy -5.66 eV per atom. Number 4: electronic total energy -4.30 eV per atom. Number 5: electronic total energy -6.53 eV per atom. Number 6: electronic total energy -5.92 eV per atom. Number 7: electronic total energy -4.42 eV per atom. Number 8: electronic total energy -5.29 eV per atom. Number 9: electronic total energy -6.32 eV per atom. Number 10: electronic total energy -5.43 eV per atom. Number 11: electronic total energy -6.33 eV per atom. Number 12: electronic total energy -7.56 eV per atom.